Density functional theory data (GGA-PBE) for crystalline Ce6Co2Pb at its relaxed geometry.

Energy relative to the elements ... -0.228 eV per atom
Energy relative to the lowest polymorph listed for this composition ... 0 meV per atom
E ... -6.18 eV per atom

abc: 10.8362 4.4925 8.7826
angles: 90.00 91.37 90.00
Last column: nearest neighbours and their distance in Å.
Space group C2/m (No. 12)
Symmetry-distinct sites (fractional):
Ce1 0.0859 0.0000 0.1788  3 Co 2.96-3.11, 2 Ce 2.98
Ce2 0.0920 0.5000 0.8651  3 Co 2.73-2.81, 2 Ce 2.98
Ce3 0.2171 0.0000 0.6098  1 Co 2.48
Co1 0.2468 0.0000 0.8905  2 Ce 2.48-2.73
Pb1 0.0000 0.5000 0.5000  8 Ce 3.24-3.38

Density functional theory data (GGA-PBE) for crystalline Ce2Co2Pb at its relaxed geometry.

Energy relative to the elements ... -0.201 eV per atom
E ... -6.16 eV per atom

abc: 4.5221 4.5221 16.2560
angles: 90.00 90.00 120.00
Last column: nearest neighbours and their distance in Å.
Space group R-3m (No. 166, hexagonal axes)
Symmetry-distinct sites (fractional):
Ce1 0.0000 0.0000 0.2114  3 Co 2.67
Co1 0.0000 0.0000 0.4214  1 Co 2.56, 3 Ce 2.67
Pb1 0.0000 0.0000 0.0000  6 Co 2.98, 6 Ce 3.28

Density functional theory data (GGA-PBE) for crystalline Ce2CoPb2 at its relaxed geometry.

Energy relative to the elements ... -0.231 eV per atom
E ... -5.51 eV per atom

abc: 6.5556 13.1112 6.4645
angles: 90.00 90.00 90.00
Last column: nearest neighbours and their distance in Å.
Space group Ibam (No. 72)
Symmetry-distinct sites (fractional):
Ce1 0.2493 0.1254 0.0000  2 Co 2.83
Co1 0.0000 0.5000 0.2500  4 Pb 2.80, 4 Ce 2.83
Pb1 0.2483 0.3771 0.0000  2 Co 2.80

Density functional theory data (GGA-PBE) for crystalline CeCoPb at its relaxed geometry.

Energy relative to the elements ... -0.264 eV per atom
E ... -5.85 eV per atom

abc: 4.0074 5.7839 6.1494
angles: 92.52 101.84 93.83
Last column: nearest neighbours and their distance in Å.
Space group P-1 (No. 2)
Symmetry-distinct sites (fractional):
Ce1 0.0885 0.3137 0.2675  1 Co 2.17
Co1 0.1908 0.8355 0.4988  1 Ce 2.17
Pb1 0.4190 0.2094 0.8065  3 Co 2.69-2.79

Density functional theory data (GGA-PBE) for crystalline Ce4CoPb5 at its relaxed geometry.

Energy relative to the elements ... -0.119 eV per atom
E ... -5.06 eV per atom

abc: 18.1990 3.8692 8.5820
angles: 90.00 97.42 90.00
Last column: nearest neighbours and their distance in Å.
Space group C2/m (No. 12)
Symmetry-distinct sites (fractional):
Ce1 0.0230 0.0000 0.2031  2 Co 2.60
Ce2 0.1542 0.5000 0.9519  1 Co 2.89
Co1 0.0000 0.5000 0.0000  6 Ce 2.60-2.89
Pb1 0.0000 0.5000 0.5000  4 Ce 3.27, 4 Pb 3.38
Pb2 0.1499 0.0000 0.6135  5 Pb 3.17-3.38, 2 Ce 3.48
Pb3 0.2059 0.0000 0.2783  3 Pb 3.17-3.30, 4 Ce 3.31-3.43

Density functional theory data (GGA-PBE) for crystalline Ce5Co2Pb2 at its relaxed geometry.

Energy relative to the elements ... -0.204 eV per atom
E ... -5.90 eV per atom

abc: 6.7468 22.0593 6.8539
angles: 90.00 90.00 90.00
Last column: nearest neighbours and their distance in Å.
Space group Imma (No. 74)
Symmetry-distinct sites (fractional):
Ce1 0.0000 0.1415 0.0015  1 Co 2.42
Ce2 0.0000 0.2500 0.5606  1 Co 2.66
Ce3 0.2500 0.0005 0.7500  2 Co 2.40
Co1 0.0000 0.0000 0.0000  4 Ce 2.40
Co2 0.0000 0.2500 0.9491  3 Ce 2.42-2.66
Pb1 0.0000 0.1066 0.4982  9 Ce 3.19-3.53

Density functional theory data (GGA-PBE) for crystalline CeCo4Pb at its relaxed geometry.

Energy relative to the elements ... 0.005 eV per atom
E ... -6.34 eV per atom

abc: 7.1692 7.1692 7.1692
angles: 90.00 90.00 90.00
Last column: nearest neighbours and their distance in Å.
Space group F-43m (No. 216)
Symmetry-distinct sites (fractional):
Ce1 0.0000 0.0000 0.0000  12 Co 2.97, 4 Pb 3.10
Co1 0.1247 0.1247 0.6247  6 Co 2.53-2.54
Pb1 0.2500 0.2500 0.2500  12 Co 2.97, 4 Ce 3.10

Density functional theory data (GGA-PBE) for crystalline Ce4CoPb3 at its relaxed geometry.

Energy relative to the elements ... -0.208 eV per atom
E ... -5.45 eV per atom

abc: 11.4660 6.2138 6.3809
angles: 90.00 90.00 90.00
Last column: nearest neighbours and their distance in Å.
Space group Pmn2_1 (No. 31)
Symmetry-distinct sites (fractional):
Ce1 0.0000 0.0217 0.0000  1 Ce 2.91, 2 Pb 3.22
Ce2 0.0000 0.6457 0.7288  1 Ce 2.91, 1 Co 3.12
Ce3 0.2016 0.2033 0.5099  1 Co 2.31
Co1 0.0000 0.1947 0.5144  2 Ce 2.31
Pb1 0.0000 0.5310 0.2276  1 Co 2.78
Pb2 0.2362 0.3015 0.0006  6 Ce 3.16-3.37, 1 Pb 3.39

Computed ρ (Mg/m³) in order:
9.06; 10.47; 9.01; 9.71; 9.17; 8.03; 10.51; 9.07